Entry 1:
VASP calculation (PBE with a Hubbard U) on a relaxed FeReO4 crystal.

Offset from the most stable computed form = 0.45 eV/f.u.
DOS(E_F) = 4.073 states/eV/cell
SG = No. 82
Magnetization = 3.0 μB per formula unit

Unit cell a=6.035 b=6.035 c=6.035 alpha=127.26 beta=127.26 gamma=77.83
Positions (direct):
Fe (0.000, 0.000, 0.000)
Re (0.750, 0.250, 0.500)
O (0.395, 0.255, 0.378)
O (0.745, 0.123, 0.140)
O (0.877, 0.017, 0.622)
O (0.983, 0.605, 0.860)



Entry 2:
VASP calculation (PBE with a Hubbard U) on a relaxed FeRe2O8 crystal.

DFT total energy = -7.89 eV/atom
DOS(E_F) = 0.000 states/eV/cell
SG = No. 12
Magnetization = 4.0 μB per formula unit

Unit cell a=7.118 b=7.118 c=5.351 alpha=96.71 beta=96.71 gamma=50.99
Positions (direct):
Fe (0.000, 0.000, 0.000)
Re (0.155, 0.155, 0.645)
Re (0.845, 0.845, 0.355)
O (0.095, 0.095, 0.325)
O (0.111, 0.661, 0.190)
O (0.291, 0.291, 0.653)
O (0.339, 0.889, 0.810)
O (0.661, 0.111, 0.190)
O (0.709, 0.709, 0.347)
O (0.889, 0.339, 0.810)
O (0.905, 0.905, 0.675)



Entry 3:
VASP calculation (PBE with a Hubbard U) on a relaxed Fe2ReRhO crystal.

DFT total energy = -5.34 eV/atom
DOS(E_F) = 5.107 states/eV/cell
SG = No. 123
Magnetization = 7.9 μB per formula unit

Unit cell a=4.993 b=4.993 c=4.571 alpha=90.00 beta=90.00 gamma=90.00
Positions (direct):
Fe (0.000, 0.500, 0.000)
Fe (0.500, 0.000, 0.000)
Re (0.000, 0.000, 0.000)
Rh (0.000, 0.000, 0.500)
O (0.500, 0.500, 0.500)